This record from Alexandria describes NaBeCl2 after structural relaxation. The functional is PBE.

Unit cell a=3.3100 b=3.3100 c=34.8395 alpha=90.00 beta=90.00 gamma=120.00
Space group R-3m (No. 166, hexagonal axes)
Unique sites:
Na  0.0000  0.0000  0.0000 [3 per cell]
Be  0.0000  0.0000  0.5000 [3 per cell]
Cl  0.0000  0.0000  0.1308 [6 per cell]

Computed properties:
The calculation puts the total energy at -0.21746 Ry per atom. The value obtained for the raw formation energy is -0.774 eV/atom.